Material: TaSbPb3
Method: DFT, PBE
State: relaxed

Formation energy from raw total energies ... 1.573 eV/atom
SG ... Pm-3m (221)

Unit cell a=5.7606 b=5.7606 c=5.7606 alpha=90.00 beta=90.00 gamma=90.00
Last column: magnetic moment on the atom in μB.
Positions (direct):
Sb  0.0000  0.0000  0.0000  0.00
Pb  0.5000  0.0000  0.0000  -0.04
Pb  0.0000  0.5000  0.0000  -0.02
Pb  0.0000  0.0000  0.5000  -0.01
Ta  0.5000  0.5000  0.5000  2.07

***

Material: Ta2SbPb
Method: DFT, PBE
State: relaxed

Formation energy from raw total energies ... 0.534 eV/atom
SG ... Cmmm (65)

Unit cell a=3.1511 b=3.1511 c=9.1410 alpha=90.00 beta=90.00 gamma=110.31
Positions (direct):
Ta  0.0000  0.0000  0.5127
Ta  0.0000  0.0000  0.9873
Pb  0.5000  0.5000  0.2500
Sb  0.5000  0.5000  0.7500

***

Material: Ta2SbPb
Method: DFT, PBE
State: relaxed

Formation energy from raw total energies ... 0.576 eV/atom
SG ... I-4m2 (119)

Unit cell a=5.4787 b=5.4787 c=5.4787 alpha=133.88 beta=133.88 gamma=67.28
Positions (direct):
Pb  0.5000  0.5000  0.0000
Ta  0.2500  0.7500  0.5000
Ta  0.0000  0.0000  0.0000
Sb  0.7500  0.2500  0.5000

***

Number 1: calculated total energy -3.8467 eV per atom, excess energy over the best structure of this formula in the dataset 873 meV per atom, N(E_F) 5.3 states/eV/f.u.. Number 2: calculated total energy -7.3497 eV per atom, excess energy over the best structure of this formula in the dataset 409 meV per atom, N(E_F) 2.9 states/eV/f.u.. Number 3: calculated total energy -7.3075 eV per atom, excess energy over the best structure of this formula in the dataset 451 meV per atom, N(E_F) 2.9 states/eV/f.u..